# 1
SbAs2SeN: relaxed, GGA-PBEsol.

Results
calculated total energy: -3.547 eV/atom
crystal system: tetragonal
ΔE_f (raw): 1.8822 eV per atom

Cell: 5.2836 5.2912 5.2912 Å, 90.00 90.00 90.00°
With the nearest neighbours (Å) after each atom.
Atoms (fractional coordinates):
N 0.5000 0.5000 0.5000  8 As 3.74, 4 Se 3.74
As 0.0000 0.0000 0.5000  2 Sb 2.65
As 0.0000 0.5000 0.0000  2 Sb 2.65
Sb 0.0000 0.0000 0.0000  2 Se 2.64, 4 As 2.65
Se 0.5000 0.0000 0.0000  2 Sb 2.64



# 2
InCuTe2: relaxed, GGA-PBEsol.

Results
calculated total energy: -3.668 eV/atom
crystal system: tetragonal
ΔE_f (raw): -0.0760 eV per atom

Cell: 3.8747 3.8747 6.8649 Å, 90.00 90.00 90.00°
With the nearest neighbours (Å) after each atom.
Atoms (fractional coordinates):
In 0.5000 0.5000 0.8064  5 Te 2.82-2.93
Te 0.0000 0.0000 0.9588  1 Cu 2.61
Te 0.5000 0.5000 0.3955  4 Cu 2.77, 1 In 2.82
Cu 0.0000 0.0000 0.3393  5 Te 2.61-2.77



# 3
Rb2BeW: relaxed, GGA-PBEsol.

Results
calculated total energy: -3.175 eV/atom
energy of formation: 1.789 eV/atom
crystal system: tetragonal

Cell: 4.5901 9.2058 9.2058 Å, 86.44 75.56 75.56°
With the nearest neighbours (Å) after each atom.
Atoms (fractional coordinates):
W 0.7500 0.5000 0.5000  2 Be 2.30
W 0.0000 0.0000 0.0000  2 Be 2.30
Be 0.5000 0.0000 0.0000  2 W 2.30
Be 0.2500 0.5000 0.5000  2 W 2.30
Rb 0.4431 0.6819 0.1819  2 Be 3.32, 2 W 3.69
Rb 0.8750 0.8181 0.6819  2 Be 3.32, 2 W 3.69
Rb 0.3750 0.1819 0.3181  2 Be 3.32, 2 W 3.69
Rb 0.3069 0.3181 0.8181  2 Be 3.32, 2 W 3.69



Which of these has the lowest calculated total energy?
InCuTe2



Look up the calculated total energy of the first one.
-3.547 eV/atom